(1)
TaSb2IF | PBE | relaxed

The total magnetic moment is 0.00 μB per formula unit. As for the crystal system: tetragonal. As for the total energy: -4.20 eV/atom. Its uncorrected formation energy is 0.499 eV per atom. The calculation puts the energy above the lowest structure with this stoichiometry at 424 meV/atom.

The structure belongs to space group P4/mmm (No. 123); the cell edges are 4.616, 4.616 and 5.499 Å and the angles 90.00°, 90.00° and 90.00°. The asymmetric unit holds Ta at (0.000, 0.000, 0.000), Sb at (0.000, 0.500, 0.500), I at (0.500, 0.500, 0.000) and F at (0.500, 0.500, 0.500).

---

(2)
LaTaMoOs | PBE | relaxed

The total magnetic moment is 0.00 μB per formula unit. As for the crystal system: tetragonal. Its energy of formation is 0.274 eV/atom. As for the total energy: -9.44 eV/atom. The calculation puts the energy above the lowest structure with this stoichiometry at 0 meV/atom.

The structure belongs to space group P4mm (No. 99); the cell edges are 3.047, 3.047 and 8.621 Å and the angles 90.00°, 90.00° and 90.00°. The asymmetric unit holds La at (0.000, 0.000, 0.000), Ta at (0.500, 0.500, 0.671), Mo at (0.000, 0.000, 0.441) and Os at (0.500, 0.500, 0.271).

---

(3)
KCrPd2Se | PBE | relaxed

The total magnetic moment is 4.72 μB per formula unit. As for the crystal system: tetragonal. As for the total energy: -3.57 eV/atom. Its uncorrected formation energy is 1.351 eV per atom.

The structure belongs to space group P4/mmm (No. 123); the cell edges are 4.826, 4.826 and 5.652 Å and the angles 90.00°, 90.00° and 90.00°. The asymmetric unit holds K at (0.000, 0.000, 0.000), Cr at (0.500, 0.500, 0.500), Pd at (0.000, 0.500, 0.000) and Se at (0.000, 0.000, 0.500).

---

(4)
SrCoGe2 | PBE | relaxed

The total magnetic moment is 0.58 μB per formula unit. As for the crystal system: trigonal. Its energy of formation is -0.391 eV/atom. As for the total energy: -4.90 eV/atom.

The structure belongs to space group R-3m (No. 166, hexagonal axes); the cell edges are 4.0615, 4.0615 and 17.1206 Å and the angles 90.00°, 90.00° and 120.00°. The asymmetric unit holds Sr at (0.0000, 0.0000, 0.0000), Co at (0.0000, 0.0000, 0.5000) and Ge at (0.0000, 0.0000, 0.2093).